! GGA-PBE Er12Pd6N, relaxed; values from VASP
! total magnetic moment	0.00	μB per cell
! formation energy (no corrections)	-0.658	eV per atom
&SYSTEM
  ibrav = 0, nat = 19, ntyp = 3
/
ATOMIC_SPECIES
Er 167.26 Er.upf
Pd 106.42 Pd.upf
N 14.01 N.upf
CELL_PARAMETERS angstrom
7.9179 0.0203 0.0243
-1.1803 7.8295 0.0243
-1.1803 -1.3752 7.7078
ATOMIC_POSITIONS crystal
Er 0.6946 0.9211 0.0185
Er 0.4379 0.8128 0.5847
Er 0.4153 0.5621 0.1872
Er 0.8128 0.5847 0.4379
Er 0.9815 0.3054 0.0789
Er 0.0789 0.9815 0.3054
Er 0.0185 0.6946 0.9211
Er 0.5847 0.4379 0.8128
Er 0.5621 0.1872 0.4153
Er 0.1872 0.4153 0.5621
Er 0.3054 0.0789 0.9815
Er 0.9211 0.0185 0.6946
Pd 0.1191 0.6376 0.2986
Pd 0.7014 0.8809 0.3624
Pd 0.2986 0.1191 0.6376
Pd 0.6376 0.2986 0.1191
Pd 0.8809 0.3624 0.7014
Pd 0.3624 0.7014 0.8809
N 0.0000 0.0000 0.0000